First-principles (PBE+U) data for an optimized crystal structure of NiAgF3, as listed in the Alexandria database.

Structure (extended XYZ):
```
5
Lattice="4.325 0.000 0.000 0.000 4.325 0.000 0.000 0.000 4.325" Properties=species:S:1:pos:R:3 pbc="T T T"
Ni 0.000 0.000 0.000
Ag 2.162 2.162 2.162
F 0.000 2.162 2.162
F 2.162 0.000 2.162
F 2.162 2.162 0.000
```

Values from the calculation:
Electronic total energy = -13.16 eV for the cell shown
M_tot = 1.455 μB/cell
Calculated volume = 16.18 Å³ per atom
Calculated density = 4.6 g cm⁻³
Crystal system = cubic
Space group = No. 221
N(E_F) = 15.24 states/eV/cell